Record 1
Here is a relaxed YSi2Ag crystal from the Alexandria database. Energies are from PBE-GGA.

Cell: 3.421 3.421 6.485 Å, 90.00 90.00 90.00°
Fractional positions:
Y 0.000 0.000 0.000
Si 0.000 0.000 0.540
Si 0.500 0.500 0.718
Ag 0.500 0.500 0.317

Summary:
E, eV for the cell shown: -20.50
SG: No. 99
Raw formation energy, eV/atom: -0.09
Spin magnetization, μB per atom: 0.000

Record 2
Here is a relaxed Ir2AuBr crystal from the Alexandria database. Energies are from PBE-GGA.

Cell: 2.819 5.153 9.323 Å, 90.00 90.00 90.00°
Fractional positions:
Ir 0.000 0.000 0.245
Ir 0.000 0.000 0.755
Ir 0.500 0.500 0.245
Ir 0.500 0.500 0.755
Au 0.000 0.500 0.500
Au 0.500 0.000 0.500
Br 0.000 0.500 0.000
Br 0.500 0.000 0.000

Summary:
E, eV for the cell shown: -38.63
SG: No. 65
Raw formation energy, eV/atom: 0.84
Spin magnetization, μB per atom: 0.000

Record 3
Here is a relaxed ScSi2Os crystal from the Alexandria database. Energies are from PBE-GGA.

Cell: 3.818 3.818 8.128 Å, 90.00 90.00 90.00°
Fractional positions:
Sc 0.000 0.000 0.000
Sc 0.500 0.500 0.500
Si 0.000 0.000 0.500
Si 0.000 0.500 0.750
Si 0.500 0.000 0.250
Si 0.500 0.500 0.000
Os 0.000 0.500 0.250
Os 0.500 0.000 0.750

Summary:
E, eV for the cell shown: -58.90
SG: No. 119
Raw formation energy, eV/atom: -0.26
Spin magnetization, μB per atom: 0.000

Record 4
Here is a relaxed KSnSb2Te crystal from the Alexandria database. Energies are from PBE-GGA.

Cell: 5.766 5.766 5.970 Å, 90.00 90.00 90.00°
Fractional positions:
K 0.000 0.000 0.000
Sn 0.500 0.500 0.500
Sb 0.000 0.500 0.500
Sb 0.500 0.000 0.500
Te 0.500 0.500 0.000

Summary:
E, eV for the cell shown: -15.53
SG: No. 123
Raw formation energy, eV/atom: 0.19
Spin magnetization, μB per atom: 0.227

Record 5
Here is a relaxed Mg6Hg5Pd crystal from the Alexandria database. Energies are from PBE-GGA.

Cell: 4.928 6.708 7.714 Å, 90.00 107.88 90.00°
Fractional positions:
Mg 0.000 0.239 0.000
Mg 0.000 0.761 0.000
Mg 0.339 0.240 0.681
Mg 0.339 0.760 0.681
Mg 0.661 0.240 0.319
Mg 0.661 0.760 0.319
Hg 0.167 0.000 0.329
Hg 0.173 0.500 0.343
Hg 0.500 0.500 0.000
Hg 0.827 0.500 0.657
Hg 0.833 0.000 0.671
Pd 0.500 0.000 0.000

Summary:
DFT formation energy, eV per atom: -0.304
E, eV for the cell shown: -19.92
SG: No. 10
Spin magnetization, μB per atom: 0.000

Record 6
Here is a relaxed SrMnPb2 crystal from the Alexandria database. Energies are from PBE-GGA.

Cell: 8.147 4.657 6.736 Å, 90.00 113.29 90.00°
Fractional positions:
Sr 0.000 0.000 0.000
Sr 0.500 0.500 0.000
Mn 0.000 0.500 0.500
Mn 0.500 0.000 0.500
Pb 0.223 0.000 0.668
Pb 0.277 0.500 0.332
Pb 0.723 0.500 0.668
Pb 0.777 0.000 0.332

Summary:
DFT formation energy, eV per atom: -0.045
E, eV for the cell shown: -36.89
SG: No. 12
Spin magnetization, μB per atom: 0.863

> Look up the E of the third one.

-58.90 eV for the cell shown